[1]
## Li2Ga6Ir (PBE-GGA)

Data for Li2Ga6Ir after structural relaxation.

a b c (Å): 5.447 5.447 6.155
angles (deg): 90.17 90.17 59.98
Element x y z (fractional)
Li1 0.167 0.167 0.072
Li2 0.833 0.833 0.928
Ga1 0.160 0.670 0.320
Ga2 0.330 0.330 0.679
Ga3 0.330 0.840 0.680
Ga4 0.670 0.160 0.320
Ga5 0.670 0.670 0.321
Ga6 0.840 0.330 0.680
Ir1 0.500 0.500 0.000

## Properties
- E_tot: -3.68 eV per atom
- Fermi-level density of states: 3.51 states/eV/f.u.
- Spin magnetization: 0.00 μB per formula unit
- Density: 6557 kg/m³

[2]
## Li2GaMoIr (PBE-GGA)

Data for Li2GaMoIr after structural relaxation.

a b c (Å): 4.324 4.324 4.639
angles (deg): 90.00 90.00 90.00
Element x y z (fractional)
Li1 0.000 0.500 0.000
Li2 0.500 0.000 0.000
Ga1 0.000 0.000 0.000
Mo1 0.500 0.500 0.500
Ir1 0.000 0.000 0.500

## Properties
- E_tot: -4.52 eV per atom
- Fermi-level density of states: 2.95 states/eV/f.u.
- Spin magnetization: 3.33 μB per formula unit
- Density: 7115 kg/m³

[3]
## NaLi2GaIr (PBE-GGA)

Data for NaLi2GaIr after structural relaxation.

a b c (Å): 4.818 4.818 4.778
angles (deg): 90.00 90.00 90.00
Element x y z (fractional)
Na1 0.000 0.000 0.000
Li1 0.000 0.500 0.500
Li2 0.500 0.000 0.500
Ga1 0.500 0.500 0.000
Ir1 0.500 0.500 0.500

## Properties
- E_tot: -3.44 eV per atom
- Fermi-level density of states: 1.64 states/eV/f.u.
- Spin magnetization: 0.00 μB per formula unit
- Density: 4474 kg/m³